Compound: AlNi2IrO6
Source: the Alexandria database
Functional: PBE+U
Structure: relaxed

a b c (Å): 3.7037 5.6504 5.6504
angles (deg): 90.00 90.00 90.00
Last column: magnetic moment on the atom in μB.
Element x y z (fractional)
Al 0.6929 0.0000 0.0000  0.00
Ni 0.8461 0.5000 0.0000  1.77
Ni 0.8461 0.0000 0.5000  1.77
Ir 0.7074 0.5000 0.5000  -0.02
O 0.7353 0.2472 0.2472  0.07
O 0.7353 0.2472 0.7528  0.07
O 0.2105 0.5000 0.5000  0.00
O 0.2024 0.0000 0.0000  0.06
O 0.7353 0.7528 0.7528  0.07
O 0.7353 0.7528 0.2472  0.07

Properties
Crystal system: tetragonal
Size of the total moment (Bohr magnetons per cell): 4.0
Electronic total energy (eV per atom): -5.74
Space group: P4mm, No. 99
ρ (Mg/m³): 6.1